No. 1
DFT (GGA-PBE) results for a relaxed NbBr3Cl2 crystal.

Structure (CIF):
```
data_NbBr3Cl2
_chemical_formula_sum 'Nb2 Br6 Cl4'
_space_group_name_H-M_alt 'P 1'
_space_group_IT_number 1
_cell_length_a 6.839
_cell_length_b 7.355
_cell_length_c 9.791
_cell_angle_alpha 110.38
_cell_angle_beta 91.03
_cell_angle_gamma 117.28
loop_
_space_group_symop_operation_xyz
'x,y,z'
loop_
_atom_site_label
_atom_site_type_symbol
_atom_site_fract_x
_atom_site_fract_y
_atom_site_fract_z
Br1 Br 0.930 0.181 0.426
Br2 Br 0.070 0.819 0.574
Br3 Br 0.696 0.986 0.754
Br4 Br 0.114 0.624 0.851
Br5 Br 0.886 0.376 0.149
Br6 Br 0.304 0.014 0.246
Cl1 Cl 0.782 0.831 0.039
Cl2 Cl 0.430 0.560 0.322
Cl3 Cl 0.570 0.440 0.678
Cl4 Cl 0.218 0.169 0.961
Nb1 Nb 0.109 0.218 0.216
Nb2 Nb 0.891 0.782 0.784
```

Final energy, eV/atom: -4.127
Energy relative to the lowest polymorph listed for this composition, eV/f.u.: 0.02

=====

No. 2
DFT (GGA-PBE) results for a relaxed NbBrCl2O crystal.

Structure (CIF):
```
data_NbBrCl2O
_chemical_formula_sum 'Nb2 Br2 Cl4 O2'
_space_group_name_H-M_alt 'P 1'
_space_group_IT_number 1
_cell_length_a 7.076
_cell_length_b 7.076
_cell_length_c 11.720
_cell_angle_alpha 119.84
_cell_angle_beta 119.84
_cell_angle_gamma 32.57
loop_
_space_group_symop_operation_xyz
'x,y,z'
loop_
_atom_site_label
_atom_site_type_symbol
_atom_site_fract_x
_atom_site_fract_y
_atom_site_fract_z
Br1 Br 0.106 0.101 0.387
Br2 Br 0.899 0.894 0.613
Cl1 Cl 0.899 0.909 0.041
Cl2 Cl 0.321 0.316 0.282
Cl3 Cl 0.684 0.679 0.718
Cl4 Cl 0.091 0.101 0.959
Nb1 Nb 0.181 0.066 0.191
Nb2 Nb 0.934 0.819 0.809
O1 O 0.626 0.603 0.178
O2 O 0.397 0.374 0.822
```

Final energy, eV/atom: -5.612
Energy relative to the lowest polymorph listed for this composition, eV/f.u.: 0.00

=====

No. 3
DFT (GGA-PBE) results for a relaxed NbBrCl2O crystal.

Structure (CIF):
```
data_NbBrCl2O
_chemical_formula_sum 'Nb2 Br2 Cl4 O2'
_space_group_name_H-M_alt 'P 1'
_space_group_IT_number 1
_cell_length_a 6.930
_cell_length_b 6.930
_cell_length_c 11.561
_cell_angle_alpha 118.04
_cell_angle_beta 118.04
_cell_angle_gamma 32.36
loop_
_space_group_symop_operation_xyz
'x,y,z'
loop_
_atom_site_label
_atom_site_type_symbol
_atom_site_fract_x
_atom_site_fract_y
_atom_site_fract_z
Br1 Br 0.095 0.095 0.387
Br2 Br 0.905 0.905 0.613
Cl1 Cl 0.897 0.897 0.041
Cl2 Cl 0.316 0.316 0.285
Cl3 Cl 0.684 0.684 0.715
Cl4 Cl 0.103 0.103 0.959
Nb1 Nb 0.118 0.118 0.189
Nb2 Nb 0.882 0.882 0.811
O1 O 0.605 0.605 0.171
O2 O 0.395 0.395 0.829
```

Final energy, eV/atom: -5.600
Energy relative to the lowest polymorph listed for this composition, eV/f.u.: 0.06

=====

No. 4
DFT (GGA-PBE) results for a relaxed Nb3SBr4Cl3 crystal.

Structure (CIF):
```
data_Nb3SBr4Cl3
_chemical_formula_sum 'Nb3 S1 Br4 Cl3'
_space_group_name_H-M_alt 'P 1'
_space_group_IT_number 1
_cell_length_a 7.094
_cell_length_b 7.094
_cell_length_c 6.595
_cell_angle_alpha 90.00
_cell_angle_beta 90.00
_cell_angle_gamma 120.00
loop_
_space_group_symop_operation_xyz
'x,y,z'
loop_
_atom_site_label
_atom_site_type_symbol
_atom_site_fract_x
_atom_site_fract_y
_atom_site_fract_z
Br1 Br 0.667 0.333 0.001
Br2 Br 0.004 0.502 0.562
Br3 Br 0.498 0.502 0.562
Br4 Br 0.498 0.996 0.562
Cl1 Cl 0.163 0.327 0.021
Cl2 Cl 0.163 0.837 0.021
Cl3 Cl 0.673 0.837 0.021
Nb1 Nb 0.270 0.135 0.782
Nb2 Nb 0.865 0.135 0.782
Nb3 Nb 0.865 0.730 0.782
S1 S 0.000 0.000 0.517
```

Final energy, eV/atom: -5.364

=====

No. 5
DFT (GGA-PBE) results for a relaxed Nb3SBr6Cl crystal.

Structure (CIF):
```
data_Nb3SBr6Cl
_chemical_formula_sum 'Nb3 S1 Br6 Cl1'
_space_group_name_H-M_alt 'P 1'
_space_group_IT_number 1
_cell_length_a 7.123
_cell_length_b 7.123
_cell_length_c 6.715
_cell_angle_alpha 90.00
_cell_angle_beta 90.00
_cell_angle_gamma 120.00
loop_
_space_group_symop_operation_xyz
'x,y,z'
loop_
_atom_site_label
_atom_site_type_symbol
_atom_site_fract_x
_atom_site_fract_y
_atom_site_fract_z
Br1 Br 0.503 0.005 0.035
Br2 Br 0.503 0.497 0.035
Br3 Br 0.995 0.497 0.035
Br4 Br 0.337 0.169 0.561
Br5 Br 0.831 0.169 0.561
Br6 Br 0.831 0.663 0.561
Cl1 Cl 0.000 0.000 0.964
Nb1 Nb 0.197 0.394 0.780
Nb2 Nb 0.197 0.803 0.780
Nb3 Nb 0.606 0.803 0.780
S1 S 0.333 0.667 0.523
```

Final energy, eV/atom: -5.224

=====

No. 6
DFT (GGA-PBE) results for a relaxed Nb3SeBr4Cl3 crystal.

Structure (CIF):
```
data_Nb3SeBr4Cl3
_chemical_formula_sum 'Nb3 Se1 Br4 Cl3'
_space_group_name_H-M_alt 'P 1'
_space_group_IT_number 1
_cell_length_a 7.125
_cell_length_b 7.125
_cell_length_c 6.632
_cell_angle_alpha 90.00
_cell_angle_beta 90.00
_cell_angle_gamma 120.00
loop_
_space_group_symop_operation_xyz
'x,y,z'
loop_
_atom_site_label
_atom_site_type_symbol
_atom_site_fract_x
_atom_site_fract_y
_atom_site_fract_z
Br1 Br 0.003 0.502 0.433
Br2 Br 0.498 0.502 0.433
Br3 Br 0.498 0.997 0.433
Br4 Br 0.667 0.333 0.996
Cl1 Cl 0.163 0.326 0.979
Cl2 Cl 0.163 0.837 0.979
Cl3 Cl 0.674 0.837 0.979
Nb1 Nb 0.271 0.135 0.216
Nb2 Nb 0.865 0.135 0.216
Nb3 Nb 0.865 0.729 0.216
Se1 Se 0.000 0.000 0.505
```

Final energy, eV/atom: -5.273
Energy relative to the lowest polymorph listed for this composition, eV/f.u.: 0.00

=====

No. 7
DFT (GGA-PBE) results for a relaxed Nb3SeBr6Cl crystal.

Structure (CIF):
```
data_Nb3SeBr6Cl
_chemical_formula_sum 'Nb3 Se1 Br6 Cl1'
_space_group_name_H-M_alt 'P 1'
_space_group_IT_number 1
_cell_length_a 7.160
_cell_length_b 7.160
_cell_length_c 6.780
_cell_angle_alpha 90.00
_cell_angle_beta 90.00
_cell_angle_gamma 120.00
loop_
_space_group_symop_operation_xyz
'x,y,z'
loop_
_atom_site_label
_atom_site_type_symbol
_atom_site_fract_x
_atom_site_fract_y
_atom_site_fract_z
Br1 Br 0.337 0.168 0.433
Br2 Br 0.832 0.168 0.433
Br3 Br 0.832 0.663 0.433
Br4 Br 0.502 0.003 0.966
Br5 Br 0.997 0.498 0.966
Br6 Br 0.502 0.498 0.966
Cl1 Cl 0.000 0.000 0.035
Nb1 Nb 0.196 0.393 0.219
Nb2 Nb 0.196 0.804 0.219
Nb3 Nb 0.607 0.804 0.219
Se1 Se 0.333 0.667 0.497
```

Final energy, eV/atom: -5.133

=====

No. 8
DFT (GGA-PBE) results for a relaxed Nb3SeBr3Cl4 crystal.

Structure (CIF):
```
data_Nb3SeBr3Cl4
_chemical_formula_sum 'Nb3 Se1 Br3 Cl4'
_space_group_name_H-M_alt 'P 1'
_space_group_IT_number 1
_cell_length_a 7.058
_cell_length_b 7.058
_cell_length_c 6.616
_cell_angle_alpha 90.00
_cell_angle_beta 90.00
_cell_angle_gamma 120.00
loop_
_space_group_symop_operation_xyz
'x,y,z'
loop_
_atom_site_label
_atom_site_type_symbol
_atom_site_fract_x
_atom_site_fract_y
_atom_site_fract_z
Br1 Br 0.004 0.502 0.434
Br2 Br 0.498 0.502 0.434
Br3 Br 0.498 0.996 0.434
Cl1 Cl 0.667 0.333 0.018
Cl2 Cl 0.164 0.328 0.974
Cl3 Cl 0.164 0.836 0.974
Cl4 Cl 0.672 0.836 0.974
Nb1 Nb 0.274 0.137 0.213
Nb2 Nb 0.863 0.137 0.213
Nb3 Nb 0.863 0.726 0.213
Se1 Se 0.000 0.000 0.501
```

Final energy, eV/atom: -5.325
Energy relative to the lowest polymorph listed for this composition, eV/f.u.: 0.00